# 1
Compound: CdReSb2I
Source: Alexandria
Functional: meta-GGA SCAN
Structure: PBEsol geometry

abc: 5.040 5.040 5.869
angles: 90.00 90.00 90.00
Atoms (fractional coordinates):
I (0.000, 0.000, 0.500)
Re (0.000, 0.000, 0.000)
Sb (0.500, 0.000, 0.000)
Cd (0.500, 0.500, 0.500)
Sb (0.000, 0.500, 0.000)

Properties
spin magnetization	0.00	μB per formula unit
formation energy from raw total energies	3.2	eV per formula unit

=====

# 2
Compound: Mg2Ti2In
Source: Alexandria
Functional: meta-GGA SCAN
Structure: PBEsol geometry

abc: 3.610 3.610 8.588
angles: 102.13 102.13 90.00
Atoms (fractional coordinates):
Ti (0.250, 0.750, 0.500)
In (0.000, 0.000, 0.000)
Ti (0.750, 0.250, 0.500)
Mg (0.601, 0.601, 0.202)
Mg (0.399, 0.399, 0.798)

Properties
spin magnetization	0.00	μB per formula unit
calculated formation energy	0.328	eV per atom

=====

In order of appearance, calculated density = 7.45 4.03 g/cm3.
In order of appearance, raw total energy = -209.56 -73.75 eV/f.u..